(1)
Here is a relaxed HfNbSnO6 crystal from Alexandria via LeMat-Bulk. Energies are from PBE.

Calculated values
raw formation energy: -22.09 eV/f.u.
space group: P-31c

Cell and atoms, written as CIF:
```
data_HfNbSnO6
_cell_length_a 5.366
_cell_length_b 5.366
_cell_length_c 9.382
_cell_angle_alpha 90.00
_cell_angle_beta 90.00
_cell_angle_gamma 120.00
_space_group_name_H-M_alt 'P 1'
_space_group_IT_number 1
loop_
_space_group_symop_operation_xyz
'x,y,z'
loop_
_atom_site_label
_atom_site_fract_x
_atom_site_fract_y
_atom_site_fract_z
Nb1 0.333 0.667 0.750
Nb2 0.667 0.333 0.250
O1 0.355 0.347 0.367
O2 0.992 0.645 0.367
O3 0.653 0.645 0.133
O4 0.008 0.355 0.633
O5 0.355 0.008 0.133
O6 0.992 0.347 0.133
O7 0.653 0.008 0.367
O8 0.347 0.992 0.633
O9 0.347 0.355 0.867
O10 0.645 0.653 0.633
O11 0.008 0.653 0.867
O12 0.645 0.992 0.867
Hf1 0.333 0.667 0.250
Hf2 0.667 0.333 0.750
Sn1 0.000 0.000 0.000
Sn2 0.000 0.000 0.500
```

=====

(2)
Here is a relaxed CdHg3Pt crystal from Alexandria via LeMat-Bulk. Energies are from PBE.

Calculated values
E_form: 0.8294 eV per atom
space group: Pm-3m
relative energy among the computed polymorphs: 770 meV/atom

Cell and atoms, written as CIF:
```
data_CdHg3Pt
_cell_length_a 5.384
_cell_length_b 5.384
_cell_length_c 5.384
_cell_angle_alpha 90.00
_cell_angle_beta 90.00
_cell_angle_gamma 90.00
_space_group_name_H-M_alt 'P 1'
_space_group_IT_number 1
loop_
_space_group_symop_operation_xyz
'x,y,z'
loop_
_atom_site_label
_atom_site_fract_x
_atom_site_fract_y
_atom_site_fract_z
Hg1 0.000 0.000 0.500
Hg2 0.500 0.000 0.000
Hg3 0.000 0.500 0.000
Cd1 0.000 0.000 0.000
Pt1 0.500 0.500 0.500
```